(1)
First-principles (PBE) data for an optimized crystal structure of CuH3C2IN2, as listed in OQMD via LeMat-Bulk.

Lattice parameters (Å, degrees): 4.078 16.227 7.299 90.00 101.19 90.00
Fractional coordinates of all 36 atoms:
Cu  0.133  0.000  0.454
Cu  0.209  0.364  0.546
Cu  0.791  0.864  0.454
Cu  0.867  0.500  0.546
H  0.040  0.534  0.185
H  0.071  0.366  0.867
H  0.084  0.807  0.967
H  0.121  0.655  0.989
H  0.363  0.135  0.333
H  0.395  0.242  0.363
H  0.605  0.742  0.637
H  0.637  0.635  0.667
H  0.879  0.155  0.011
H  0.916  0.307  0.033
H  0.929  0.866  0.133
H  0.960  0.034  0.815
C  0.015  0.096  0.774
C  0.027  0.663  0.118
C  0.052  0.241  0.819
C  0.195  0.180  0.558
C  0.805  0.680  0.442
C  0.948  0.741  0.181
C  0.973  0.163  0.882
C  0.985  0.596  0.226
I  0.365  0.883  0.695
I  0.436  0.491  0.780
I  0.564  0.991  0.220
I  0.635  0.383  0.305
N  0.019  0.309  0.917
N  0.126  0.102  0.611
N  0.164  0.250  0.656
N  0.290  0.187  0.391
N  0.710  0.687  0.609
N  0.836  0.750  0.344
N  0.874  0.602  0.389
N  0.981  0.809  0.083

Computed properties:
**E**: -207.13 eV for the cell shown
**Symmetry**: P2_1

(2)
First-principles (PBE) data for an optimized crystal structure of CuH6C4IN2, as listed in OQMD via LeMat-Bulk.

Lattice parameters (Å, degrees): 7.590 14.153 7.883 90.00 116.89 90.00
Fractional coordinates of all 56 atoms:
Cu  0.175  0.039  0.023
Cu  0.175  0.461  0.523
Cu  0.825  0.539  0.477
Cu  0.825  0.961  0.977
H  0.132  0.610  0.067
H  0.132  0.890  0.567
H  0.146  0.518  0.916
H  0.146  0.982  0.416
H  0.210  0.635  0.887
H  0.210  0.865  0.387
H  0.300  0.163  0.485
H  0.300  0.337  0.985
H  0.308  0.232  0.110
H  0.308  0.268  0.610
H  0.477  0.693  0.804
H  0.477  0.807  0.304
H  0.523  0.193  0.696
H  0.523  0.307  0.196
H  0.692  0.732  0.390
H  0.692  0.768  0.890
H  0.700  0.663  0.015
H  0.700  0.837  0.515
H  0.790  0.135  0.613
H  0.790  0.365  0.113
H  0.854  0.018  0.584
H  0.854  0.482  0.084
H  0.868  0.110  0.433
H  0.868  0.390  0.933
C  0.215  0.583  0.993
C  0.215  0.917  0.493
C  0.290  0.144  0.743
C  0.290  0.356  0.243
C  0.360  0.195  0.627
C  0.360  0.305  0.127
C  0.416  0.565  0.131
C  0.416  0.935  0.631
C  0.584  0.065  0.369
C  0.584  0.435  0.869
C  0.640  0.695  0.873
C  0.640  0.805  0.373
C  0.710  0.644  0.757
C  0.710  0.856  0.257
C  0.785  0.083  0.507
C  0.785  0.417  0.007
I  0.095  0.640  0.425
I  0.095  0.860  0.925
I  0.905  0.140  0.075
I  0.905  0.360  0.575
N  0.230  0.103  0.835
N  0.230  0.397  0.335
N  0.422  0.050  0.256
N  0.422  0.450  0.756
N  0.578  0.550  0.244
N  0.578  0.950  0.744
N  0.770  0.603  0.665
N  0.770  0.897  0.165

Computed properties:
**E**: -318.88 eV for the cell shown
**Symmetry**: P2_1/c

(3)
First-principles (PBE) data for an optimized crystal structure of CuPH25C26IN, as listed in OQMD via LeMat-Bulk.

Lattice parameters (Å, degrees): 10.005 10.287 12.994 71.57 70.05 79.05
Fractional coordinates of all 110 atoms:
Cu  0.090  0.438  0.416
Cu  0.910  0.562  0.584
P  0.058  0.483  0.247
P  0.942  0.517  0.753
H  0.030  0.926  0.101
H  0.034  0.999  0.684
H  0.038  0.663  0.021
H  0.064  0.256  0.720
H  0.066  0.779  0.634
H  0.110  0.140  0.465
H  0.150  0.856  0.183
H  0.203  0.581  0.791
H  0.212  0.401  0.033
H  0.215  0.944  0.036
H  0.217  0.786  0.852
H  0.242  0.183  0.984
H  0.284  0.939  0.494
H  0.290  0.113  0.733
H  0.349  0.533  0.203
H  0.384  0.408  0.445
H  0.402  0.761  0.237
H  0.427  0.156  0.155
H  0.428  0.780  0.525
H  0.433  0.443  0.794
H  0.436  0.277  0.223
H  0.449  0.878  0.766
H  0.452  0.887  0.281
H  0.469  0.345  0.969
H  0.494  0.107  0.865
H  0.506  0.893  0.135
H  0.531  0.655  0.031
H  0.548  0.113  0.719
H  0.551  0.122  0.234
H  0.564  0.723  0.777
H  0.567  0.557  0.206
H  0.572  0.220  0.475
H  0.573  0.844  0.845
H  0.598  0.239  0.763
H  0.616  0.592  0.555
H  0.651  0.467  0.797
H  0.710  0.887  0.267
H  0.716  0.061  0.506
H  0.758  0.817  0.016
H  0.783  0.214  0.148
H  0.785  0.056  0.964
H  0.788  0.599  0.967
H  0.797  0.419  0.209
H  0.850  0.144  0.817
H  0.890  0.860  0.535
H  0.934  0.221  0.366
H  0.936  0.744  0.280
H  0.962  0.337  0.979
H  0.966  0.001  0.316
H  0.970  0.074  0.899
C  0.001  0.213  0.281
C  0.019  0.090  0.253
C  0.070  0.328  0.203
C  0.107  0.076  0.146
C  0.115  0.426  0.758
C  0.127  0.944  0.115
C  0.143  0.295  0.740
C  0.146  0.660  0.024
C  0.157  0.314  0.096
C  0.175  0.191  0.068
C  0.182  0.587  0.124
C  0.214  0.153  0.467
C  0.221  0.479  0.777
C  0.248  0.729  0.928
C  0.271  0.216  0.746
C  0.313  0.040  0.485
C  0.321  0.587  0.125
C  0.351  0.400  0.779
C  0.367  0.302  0.456
C  0.377  0.267  0.767
C  0.388  0.727  0.929
C  0.423  0.656  0.029
C  0.447  0.059  0.490
C  0.472  0.195  0.473
C  0.488  0.822  0.221
C  0.499  0.798  0.824
C  0.501  0.202  0.176
C  0.512  0.178  0.779
C  0.528  0.805  0.527
C  0.553  0.941  0.510
C  0.577  0.344  0.971
C  0.612  0.273  0.071
C  0.623  0.733  0.233
C  0.633  0.698  0.544
C  0.649  0.600  0.221
C  0.679  0.413  0.875
C  0.687  0.960  0.515
C  0.729  0.784  0.254
C  0.752  0.271  0.072
C  0.779  0.521  0.223
C  0.786  0.847  0.533
C  0.818  0.413  0.876
C  0.825  0.809  0.932
C  0.843  0.686  0.904
C  0.854  0.340  0.976
C  0.857  0.705  0.260
C  0.873  0.056  0.885
C  0.885  0.574  0.242
C  0.893  0.924  0.854
C  0.930  0.672  0.797
C  0.981  0.910  0.747
C  0.999  0.787  0.719
I  0.157  0.663  0.439
I  0.843  0.337  0.561
N  0.239  0.283  0.453
N  0.761  0.717  0.547

Computed properties:
**E**: -691.05 eV for the cell shown
**Symmetry**: P-1

(4)
First-principles (PBE) data for an optimized crystal structure of CuPH18C22IN, as listed in OQMD via LeMat-Bulk.

Lattice parameters (Å, degrees): 8.328 9.797 13.964 79.00 73.59 65.18
Fractional coordinates of all 88 atoms:
Cu  0.005  0.156  0.421
Cu  0.995  0.844  0.579
P  0.024  0.833  0.733
P  0.976  0.167  0.267
H  0.005  0.613  0.915
H  0.069  0.351  0.839
H  0.093  0.790  0.033
H  0.114  0.015  0.076
H  0.172  0.523  0.691
H  0.185  0.042  0.622
H  0.210  0.265  0.666
H  0.258  0.408  0.953
H  0.275  0.595  0.490
H  0.324  0.670  0.212
H  0.324  0.796  0.829
H  0.348  0.169  0.403
H  0.363  0.006  0.233
H  0.377  0.978  0.901
H  0.393  0.423  0.152
H  0.430  0.774  0.042
H  0.455  0.303  0.713
H  0.481  0.344  0.421
H  0.519  0.656  0.579
H  0.545  0.697  0.287
H  0.570  0.226  0.958
H  0.607  0.577  0.848
H  0.623  0.022  0.099
H  0.637  0.994  0.767
H  0.652  0.831  0.597
H  0.676  0.204  0.171
H  0.676  0.330  0.788
H  0.725  0.405  0.510
H  0.742  0.592  0.047
H  0.790  0.735  0.334
H  0.815  0.958  0.378
H  0.828  0.477  0.309
H  0.886  0.985  0.924
H  0.907  0.210  0.967
H  0.931  0.649  0.161
H  0.995  0.387  0.085
C  0.031  0.827  0.108
C  0.033  0.553  0.507
C  0.036  0.997  0.771
C  0.043  0.954  0.133
C  0.059  0.252  0.820
C  0.126  0.078  0.698
C  0.133  0.308  0.089
C  0.138  0.204  0.723
C  0.161  0.195  0.168
C  0.222  0.515  0.481
C  0.228  0.675  0.760
C  0.260  0.279  0.431
C  0.266  0.534  0.727
C  0.280  0.320  0.014
C  0.335  0.378  0.443
C  0.339  0.094  0.171
C  0.351  0.688  0.804
C  0.425  0.411  0.739
C  0.451  0.574  0.218
C  0.456  0.217  0.017
C  0.485  0.104  0.096
C  0.489  0.436  0.185
C  0.511  0.564  0.815
C  0.515  0.896  0.904
C  0.544  0.783  0.983
C  0.549  0.426  0.782
C  0.575  0.589  0.261
C  0.649  0.312  0.196
C  0.661  0.906  0.829
C  0.665  0.622  0.557
C  0.720  0.680  0.986
C  0.734  0.466  0.273
C  0.740  0.721  0.569
C  0.772  0.325  0.240
C  0.778  0.485  0.519
C  0.839  0.805  0.832
C  0.862  0.796  0.277
C  0.867  0.692  0.911
C  0.874  0.922  0.302
C  0.941  0.748  0.180
C  0.957  0.046  0.867
C  0.964  0.003  0.229
C  0.967  0.447  0.493
C  0.969  0.173  0.892
I  0.278  0.889  0.447
I  0.722  0.111  0.553
N  0.082  0.310  0.455
N  0.918  0.690  0.545

Computed properties:
**E**: -566.04 eV for the cell shown
**Symmetry**: P-1

(5)
First-principles (PBE) data for an optimized crystal structure of CuH5C8S2IN, as listed in OQMD via LeMat-Bulk.

Lattice parameters (Å, degrees): 7.922 7.922 15.839 92.85 92.85 30.24
Fractional coordinates of all 36 atoms:
Cu  0.104  0.896  0.500
Cu  0.896  0.104  0.000
H  0.098  0.899  0.821
H  0.107  0.572  0.211
H  0.391  0.902  0.057
H  0.572  0.107  0.711
H  0.673  0.865  0.843
H  0.693  0.868  0.571
H  0.865  0.673  0.343
H  0.868  0.693  0.071
H  0.899  0.098  0.321
H  0.902  0.391  0.557
C  0.021  0.089  0.705
C  0.089  0.021  0.205
C  0.302  0.924  0.336
C  0.359  0.907  0.192
C  0.492  0.845  0.273
C  0.492  0.855  0.119
C  0.672  0.892  0.707
C  0.726  0.760  0.781
C  0.739  0.758  0.627
C  0.758  0.739  0.127
C  0.760  0.726  0.281
C  0.845  0.492  0.773
C  0.855  0.492  0.619
C  0.892  0.672  0.207
C  0.907  0.359  0.692
C  0.924  0.302  0.836
S  0.143  0.827  0.639
S  0.348  0.904  0.440
S  0.827  0.143  0.139
S  0.904  0.348  0.940
I  0.290  0.520  0.942
I  0.520  0.290  0.442
N  0.022  0.072  0.792
N  0.072  0.022  0.292

Computed properties:
**E**: -225.06 eV for the cell shown
**Symmetry**: Cc

(6)
First-principles (PBE) data for an optimized crystal structure of CuH8C6SIN2, as listed in OQMD via LeMat-Bulk.

Lattice parameters (Å, degrees): 4.100 14.861 14.879 90.00 98.50 90.00
Fractional coordinates of all 76 atoms:
Cu  0.167  0.078  0.489
Cu  0.167  0.422  0.989
Cu  0.833  0.578  0.011
Cu  0.833  0.922  0.511
H  0.018  0.611  0.284
H  0.018  0.889  0.784
H  0.087  0.604  0.840
H  0.087  0.896  0.340
H  0.192  0.736  0.738
H  0.192  0.764  0.238
H  0.198  0.061  0.956
H  0.198  0.439  0.456
H  0.250  0.609  0.656
H  0.250  0.891  0.156
H  0.337  0.081  0.797
H  0.337  0.419  0.297
H  0.387  0.584  0.497
H  0.387  0.916  0.997
H  0.403  0.001  0.142
H  0.403  0.499  0.642
H  0.597  0.501  0.358
H  0.597  0.999  0.858
H  0.613  0.084  0.003
H  0.613  0.416  0.503
H  0.663  0.581  0.703
H  0.663  0.919  0.203
H  0.750  0.109  0.844
H  0.750  0.391  0.344
H  0.802  0.561  0.544
H  0.802  0.939  0.044
H  0.808  0.236  0.762
H  0.808  0.264  0.262
H  0.913  0.104  0.660
H  0.913  0.396  0.160
H  0.982  0.111  0.216
H  0.982  0.389  0.716
C  0.013  0.170  0.174
C  0.013  0.330  0.674
C  0.024  0.673  0.855
C  0.024  0.827  0.355
C  0.082  0.745  0.800
C  0.082  0.755  0.300
C  0.182  0.229  0.047
C  0.182  0.271  0.547
C  0.421  0.097  0.945
C  0.421  0.403  0.445
C  0.468  0.571  0.644
C  0.468  0.929  0.144
C  0.532  0.071  0.856
C  0.532  0.429  0.356
C  0.579  0.597  0.555
C  0.579  0.903  0.055
C  0.818  0.729  0.453
C  0.818  0.771  0.953
C  0.918  0.245  0.700
C  0.918  0.255  0.200
C  0.976  0.173  0.645
C  0.976  0.327  0.145
C  0.987  0.670  0.326
C  0.987  0.830  0.826
S  0.333  0.217  0.944
S  0.333  0.283  0.444
S  0.667  0.717  0.556
S  0.667  0.783  0.056
I  0.388  0.552  0.118
I  0.388  0.948  0.618
I  0.612  0.052  0.382
I  0.612  0.448  0.882
N  0.112  0.184  0.569
N  0.112  0.316  0.069
N  0.143  0.157  0.098
N  0.143  0.343  0.598
N  0.857  0.657  0.402
N  0.857  0.843  0.902
N  0.888  0.684  0.931
N  0.888  0.816  0.431

Computed properties:
**E**: -437.40 eV for the cell shown
**Symmetry**: P2_1/c

What is the formula in the fifth record? CuH5C8S2IN